(1)
This record from Alexandria describes crystalline Ta2BeRuO at its relaxed geometry. The functional is GGA-PBE.

a b c (Å): 4.469 4.469 3.809
angles (deg): 90.00 90.00 90.00
Positions (direct):
Ta: 0.000 0.500 0.000
Ta: 0.500 0.000 0.000
Be: 0.000 0.000 0.000
Ru: 0.000 0.000 0.500
O: 0.500 0.500 0.500

Properties
* N(E_F): 1.006 states/eV per atom
* raw total energy: -7.418 eV per atom
* formation energy from raw total energies: 0.915 eV/atom
* magnetic moment: 0.0 Bohr magnetons per cell

***

(2)
This record from Alexandria describes crystalline GaSnIrS2 at its relaxed geometry. The functional is GGA-PBE.

a b c (Å): 3.872 4.234 7.223
angles (deg): 76.28 78.96 76.00
Positions (direct):
Ga: 0.000 0.000 0.000
Sn: 0.785 0.909 0.502
Ir: 0.402 0.168 0.174
S: 0.260 0.528 0.873
S: 0.417 0.607 0.327

Properties
* N(E_F): 0.280 states/eV per atom
* E above lowest polymorph: 1.33 eV per formula unit
* raw total energy: -5.016 eV per atom
* formation energy from raw total energies: -0.187 eV/atom
* magnetic moment: 0.0 Bohr magnetons per cell

***

(3)
This record from Alexandria describes crystalline Sc5InSi2 at its relaxed geometry. The functional is GGA-PBE.

a b c (Å): 8.258 8.258 8.258
angles (deg): 128.26 128.26 76.20
Positions (direct):
Sc: 0.000 0.000 0.000
Sc: 0.026 0.526 0.831
Sc: 0.195 0.026 0.500
Sc: 0.305 0.805 0.831
Sc: 0.474 0.305 0.500
Sc: 0.500 0.500 0.000
Sc: 0.526 0.695 0.500
Sc: 0.695 0.195 0.169
Sc: 0.805 0.974 0.500
Sc: 0.974 0.474 0.169
In: 0.250 0.250 0.000
In: 0.750 0.750 0.000
Si: 0.131 0.369 0.500
Si: 0.369 0.869 0.238
Si: 0.631 0.131 0.762
Si: 0.869 0.631 0.500

Properties
* N(E_F): 0.846 states/eV per atom
* raw total energy: -6.278 eV per atom
* formation energy from raw total energies: -0.623 eV/atom
* magnetic moment: 0.0 Bohr magnetons per cell

***

(4)
This record from Alexandria describes crystalline HfThRe4 at its relaxed geometry. The functional is GGA-PBE.

a b c (Å): 5.427 5.427 5.427
angles (deg): 60.00 60.00 60.00
Positions (direct):
Hf: 0.000 0.000 0.000
Th: 0.750 0.750 0.750
Re: 0.374 0.374 0.374
Re: 0.374 0.374 0.877
Re: 0.374 0.877 0.374
Re: 0.877 0.374 0.374

Properties
* N(E_F): 1.899 states/eV per atom
* raw total energy: -11.283 eV per atom
* magnetic moment: 0.0 Bohr magnetons per cell